Cs2HCl: relaxed, PBE.

Computed properties:
- density of states at the Fermi level (states/eV/atom) = 0.0000
- excess energy over the best structure of this formula in the dataset (eV/f.u.) = 0.07

Cell: 4.6783 4.6783 24.3752 Å, 90.00 90.00 120.00°
Last column: nearest neighbours and their distance in Å.
Space group R3m (No. 160, hexagonal axes)
One atom of each set of equivalent atoms:
Cs 0.0000 0.0000 0.0000 [3 per cell]  3 H 3.27, 3 Cl 3.49
Cs 0.0000 0.0000 0.1818 [3 per cell]  3 H 3.28, 3 Cl 3.50
H 0.0000 0.0000 0.5914 [3 per cell]  6 Cs 3.27-3.28
Cl 0.0000 0.0000 0.4239 [3 per cell]  6 Cs 3.49-3.50

Cs5HCl4: relaxed, PBE.

Computed properties:
- VASP energy (eV per atom) = -3.104
- density of states at the Fermi level (states/eV/atom) = 0.0000

Cell: 4.9139 7.0099 24.7238 Å, 90.00 90.00 90.00°
Last column: nearest neighbours and their distance in Å.
Space group Immm (No. 71)
One atom of each set of equivalent atoms:
Cs 0.0000 0.0000 0.0000 [2 per cell]  4 Cl 3.47, 2 H 3.50
Cs 0.0000 0.0000 0.2015 [4 per cell]  6 Cl 3.51-3.52
Cs 0.0000 0.0000 0.4077 [4 per cell]  2 H 3.35, 4 Cl 3.51-3.56
H 0.0000 0.5000 0.0000 [2 per cell]  6 Cs 3.35-3.50
Cl 0.0000 0.5000 0.1964 [4 per cell]  6 Cs 3.51-3.56
Cl 0.0000 0.5000 0.4008 [4 per cell]  6 Cs 3.47-3.52

CsH3Cl: relaxed, PBE.

Computed properties:
- density of states at the Fermi level (states/eV/atom) = 0.2031
- excess energy over the best structure of this formula in the dataset (eV/f.u.) = 0.00

Cell: 4.2683 4.2683 4.2683 Å, 90.00 90.00 90.00°
Last column: nearest neighbours and their distance in Å.
Space group Pm-3m (No. 221)
One atom of each set of equivalent atoms:
Cs 0.0000 0.0000 0.0000 [1 per cell]  12 H 3.02
H 0.0000 0.5000 0.5000 [3 per cell]  2 Cl 2.13
Cl 0.5000 0.5000 0.5000 [1 per cell]  6 H 2.13

CsH6Cl8: relaxed, PBE.

Computed properties:
- VASP energy (eV per atom) = -2.992
- density of states at the Fermi level (states/eV/atom) = 1.0686

Cell: 10.2098 10.2098 12.8686 Å, 90.00 90.00 120.00°
Last column: nearest neighbours and their distance in Å.
Space group R-3 (No. 148, hexagonal axes)
One atom of each set of equivalent atoms:
Cs 0.0000 0.0000 0.0000 [3 per cell]  8 Cl 3.68-3.69
H 0.0008 0.8187 0.3601 [18 per cell]  1 Cl 1.33
Cl 0.0000 0.0000 0.2869 [6 per cell]  3 H 2.08
Cl 0.0041 0.3005 0.5942 [18 per cell]  1 H 1.33

Cs3H4Cl: relaxed, PBE.

Computed properties:
- VASP energy (eV per atom) = -2.674
- density of states at the Fermi level (states/eV/atom) = 0.2885

Cell: 31.4688 4.8670 4.9414 Å, 90.00 98.86 90.00°
Last column: nearest neighbours and their distance in Å.
Space group C2/m (No. 12)
One atom of each set of equivalent atoms:
Cs 0.0000 0.0000 0.0000 [2 per cell]  8 H 3.42-3.72, 4 Cl 3.47
Cs 0.1845 0.0000 0.6779 [4 per cell]  6 H 4.36-4.77, 2 Cs 4.87
H 0.0718 0.5000 0.2481 [4 per cell]  1 H 0.76
H 0.0897 0.5000 0.1610 [4 per cell]  1 H 0.76
Cl 0.0000 0.5000 0.5000 [2 per cell]  2 H 2.74

Cs3H2Cl2: relaxed, PBE.

Computed properties:
- VASP energy (eV per atom) = -2.779
- density of states at the Fermi level (states/eV/atom) = 0.1075

Cell: 4.0024 24.9664 4.1799 Å, 90.00 90.00 90.00°
Last column: nearest neighbours and their distance in Å.
Space group Cmmm (No. 65)
One atom of each set of equivalent atoms:
Cs 0.0000 0.0000 0.0000 [2 per cell]  8 Cl 3.59, 2 Cs 4.00
Cs 0.0000 0.1694 0.0000 [4 per cell]  2 H 3.00
H 0.0000 0.2556 0.5000 [4 per cell]  2 H 2.02
Cl 0.0000 0.4150 0.5000 [4 per cell]  8 Cs 3.58-3.59, 1 H 3.98, 2 Cl 4.00

Cs3HCl3: relaxed, PBE.

Computed properties:
- VASP energy (eV per atom) = -2.959

Cell: 8.7166 15.4599 8.8413 Å, 90.00 92.06 90.00°
Last column: nearest neighbours and their distance in Å.
Space group C2/m (No. 12)
One atom of each set of equivalent atoms:
Cs 0.1123 0.0000 0.2717 [4 per cell]  5 Cl 3.37-3.59, 2 H 3.61
Cs 0.1877 0.3123 0.2445 [8 per cell]  1 H 3.06, 1 Cl 3.35
H 0.2091 0.5000 0.3540 [4 per cell]  1 Cl 2.05
Cl 0.0000 0.1629 0.0000 [4 per cell]  6 Cs 3.53-3.59
Cl 0.0000 0.1778 0.5000 [4 per cell]  6 Cs 3.48-3.57
Cl 0.0033 0.5000 0.7537 [4 per cell]  1 H 2.05

Cs2HgH2Cl6: relaxed, PBE.

Computed properties:
- VASP energy (eV per atom) = -2.705

Cell: 6.9769 6.9769 21.0551 Å, 90.00 90.00 120.00°
Last column: nearest neighbours and their distance in Å.
Space group R-3m (No. 166, hexagonal axes)
One atom of each set of equivalent atoms:
Cs 0.0000 0.0000 0.2292 [6 per cell]  9 Cl 3.54-3.87, 1 H 3.74
Hg 0.0000 0.0000 0.0000 [3 per cell]  6 Cl 2.74
H 0.0000 0.0000 0.4070 [6 per cell]  3 Cl 1.84
Cl 0.0291 0.5145 0.2553 [18 per cell]  1 H 1.84

Cs2HgHCl6: relaxed, PBE.

Computed properties:
- VASP energy (eV per atom) = -2.472
- density of states at the Fermi level (states/eV/atom) = 0.3537

Cell: 7.1864 7.1864 11.4468 Å, 90.00 90.00 90.00°
Last column: nearest neighbours and their distance in Å.
Space group I4/mmm (No. 139)
One atom of each set of equivalent atoms:
Cs 0.0000 0.5000 0.2500 [4 per cell]  12 Cl 3.62-3.85
Hg 0.0000 0.0000 0.0000 [2 per cell]  2 Cl 2.40
H 0.0000 0.0000 0.5000 [2 per cell]  4 Cl 2.11
Cl 0.0000 0.0000 0.2096 [4 per cell]  1 Hg 2.40
Cl 0.2075 0.2075 0.5000 [8 per cell]  1 H 2.11

Cs2HgH2Cl4: relaxed, PBE.

Computed properties:
- VASP energy (eV per atom) = -2.872
- density of states at the Fermi level (states/eV/atom) = 0.0000

Cell: 8.1845 8.1845 8.8934 Å, 90.00 90.00 90.00°
Last column: nearest neighbours and their distance in Å.
Space group I4/mmm (No. 139)
One atom of each set of equivalent atoms:
Cs 0.0000 0.5000 0.2500 [4 per cell]  8 Cl 3.66
Hg 0.0000 0.0000 0.0000 [2 per cell]  4 Cl 2.58
H 0.0000 0.0000 0.4579 [4 per cell]  1 H 0.75
Cl 0.2232 0.2232 0.0000 [8 per cell]  1 Hg 2.58

Cs8H3I4Cl: relaxed, PBE.

Computed properties:
- VASP energy (eV per atom) = -2.611
- density of states at the Fermi level (states/eV/atom) = 0.0000

Cell: 10.2154 10.2154 25.5896 Å, 90.00 90.00 120.00°
Last column: nearest neighbours and their distance in Å.
Space group R-3m (No. 166, hexagonal axes)
One atom of each set of equivalent atoms:
Cs 0.0000 0.0000 0.2369 [6 per cell]  3 H 3.45, 3 I 3.85
Cs 0.0075 0.5038 0.7626 [18 per cell]  2 H 3.43, 1 Cl 3.52, 1 I 3.79
H 0.0000 0.5000 0.5000 [9 per cell]  6 Cs 3.43-3.45
I 0.0000 0.0000 0.0000 [3 per cell]  6 Cs 3.79
I 0.0000 0.5000 0.0000 [9 per cell]  6 Cs 3.85-3.86
Cl 0.0000 0.0000 0.5000 [3 per cell]  6 Cs 3.52

Cs6H2ICl3: relaxed, PBE.

Computed properties:
- VASP energy (eV per atom) = -2.845
- density of states at the Fermi level (states/eV/atom) = 0.0000

Cell: 21.8100 5.0039 10.0892 Å, 90.00 103.36 90.00°
Last column: nearest neighbours and their distance in Å.
Space group C2/m (No. 12)
One atom of each set of equivalent atoms:
Cs 0.0053 0.0000 0.2750 [4 per cell]  3 Cl 3.40-3.60, 1 H 3.57, 2 I 3.72
Cs 0.1722 0.5000 0.5746 [4 per cell]  3 H 3.27-3.42, 3 Cl 3.61-3.66
Cs 0.1751 0.5000 0.0984 [4 per cell]  3 Cl 3.41-3.66, 2 H 3.53, 1 I 3.72
H 0.1736 0.0000 0.3442 [4 per cell]  6 Cs 3.27-3.57
I 0.0000 0.5000 0.0000 [2 per cell]  6 Cs 3.72
Cl 0.0000 0.5000 0.5000 [2 per cell]  6 Cs 3.40-3.66
Cl 0.1641 0.0000 0.8285 [4 per cell]  6 Cs 3.41-3.66